First-principles (PBE) data for Mn2PdI8 after structural relaxation, as listed in the Alexandria database.

abc: 10.318 7.659 7.659
angles: 70.21 106.41 106.41
Each line ends with the local moment (μB).
Atoms (fractional coordinates):
I (0.476, 0.326, 0.326)  -0.02
I (0.653, 0.119, 0.119)  -0.08
I (0.188, 0.294, 0.863)  0.02
I (0.188, 0.863, 0.294)  0.02
I (0.524, 0.674, 0.674)  -0.02
I (0.812, 0.706, 0.137)  0.02
I (0.812, 0.137, 0.706)  0.02
I (0.347, 0.881, 0.881)  -0.08
Mn (0.614, 0.893, 0.893)  3.72
Mn (0.386, 0.107, 0.107)  3.72
Pd (0.000, 0.000, 0.000)  0.00

Properties
D(E_F) ... 0.014 states/eV/atom
ΔE to the lowest computed polymorph ... 0.00 eV/f.u.
Total DFT energy (no corrections) ... -38.94 eV per formula unit
Formation energy from raw total energies ... -0.27 eV per atom